Below is a PBEsol-optimized structure of Al2TcCl, with properties calculated at the SCAN level.

Calculated values
- Total moment: 0.02 Bohr magnetons per cell
- DOS(E_F): 0.75 states/eV/atom
- Total energy: -227.383 eV per cell
- Polymorph energy (0 for the lowest one): 947 meV per atom
- Formation energy from raw total energies: 0.42 eV/atom

Geometry as CIF:
```
data_Al2TcCl
_cell_length_a 6.884
_cell_length_b 6.884
_cell_length_c 5.530
_cell_angle_alpha 90.00
_cell_angle_beta 90.00
_cell_angle_gamma 90.00
_symmetry_space_group_name_H-M 'I -4 2 d'
_symmetry_Int_Tables_number 122
_symmetry_space_group_name_Hall 'I -4 2bw'
loop_
_atom_site_label
_atom_site_type_symbol
_atom_site_fract_x
_atom_site_fract_y
_atom_site_fract_z
_atom_site_occupancy
Al1 Al 0.249 0.750 0.125 1
Tc1 Tc 0.000 0.000 0.500 1
Cl1 Cl 0.000 0.000 0.000 1
```